1.
## BeCd2Si (meta-GGA SCAN)

Data for a crystal of BeCd2Si relaxed with PBEsol.

a = 5.0230 Å, b = 5.0230 Å, c = 5.0230 Å
α = 132.59°, β = 132.59°, γ = 69.29°
Element x y z (fractional)
Be  0.0000  0.0000  0.0000
Cd  0.2500  0.7500  0.5000
Cd  0.7500  0.2500  0.5000
Si  0.5000  0.5000  0.0000

Calculated values
**Calculated volume**: 67 Å³/cell
**Offset from the most stable computed form**: 255.8 meV/atom
**Calculated density**: 6.45 g cm⁻³

=====

2.
## ZrGa3 (meta-GGA SCAN)

Data for a crystal of ZrGa3 relaxed with PBEsol.

a = 9.0988 Å, b = 9.0988 Å, c = 9.0988 Å
α = 155.11°, β = 155.11°, γ = 35.49°
Element x y z (fractional)
Zr  0.1187  0.1187  0.0000
Zr  0.8813  0.8813  0.0000
Ga  0.0000  0.5000  0.5000
Ga  0.2500  0.7500  0.5000
Ga  0.3762  0.3762  0.0000
Ga  0.5000  0.0000  0.5000
Ga  0.6238  0.6238  0.0000
Ga  0.7500  0.2500  0.5000

Calculated values
**Calculated volume**: 133 Å³/cell
**Calculated density**: 7.48 g cm⁻³
**VASP energy**: -20.515 eV/atom

=====

3.
## CaHfI2O (meta-GGA SCAN)

Data for a crystal of CaHfI2O relaxed with PBEsol.

a = 5.8528 Å, b = 5.8528 Å, c = 3.9527 Å
α = 90.00°, β = 90.00°, γ = 90.00°
Element x y z (fractional)
Ca  0.0000  0.0000  0.0000
Hf  0.5000  0.5000  0.5000
I  0.0000  0.5000  0.0000
I  0.5000  0.0000  0.0000
O  0.0000  0.0000  0.5000

Calculated values
**Calculated volume**: 135 Å³/cell
**Calculated density**: 5.99 g cm⁻³
**VASP energy**: -30.778 eV/atom

=====

4.
## LaScPt2 (meta-GGA SCAN)

Data for a crystal of LaScPt2 relaxed with PBEsol.

a = 4.4648 Å, b = 5.5146 Å, c = 5.5146 Å
α = 38.74°, β = 90.00°, γ = 90.00°
Element x y z (fractional)
La  0.0000  0.0000  0.0000
Sc  0.5000  0.7240  0.7240
Pt  0.0000  0.2681  0.2681
Pt  0.5000  0.4411  0.4411

Calculated values
**Calculated volume**: 85 Å³/cell
**Calculated density**: 11.22 g cm⁻³
**VASP energy**: -50.746 eV/atom

=====

5.
## LiNbAg2F (meta-GGA SCAN)

Data for a crystal of LiNbAg2F relaxed with PBEsol.

a = 5.1166 Å, b = 5.1166 Å, c = 3.0672 Å
α = 90.00°, β = 90.00°, γ = 90.00°
Element x y z (fractional)
Li  0.0000  0.0000  0.0000
Nb  0.5000  0.5000  0.0000
Ag  0.0000  0.5000  0.5000
Ag  0.5000  0.0000  0.5000
F  0.0000  0.0000  0.5000

Calculated values
**Calculated volume**: 80 Å³/cell
**Calculated density**: 6.92 g cm⁻³
**VASP energy**: -20.627 eV/atom

=====

6.
## ZrAs2Pt (meta-GGA SCAN)

Data for a crystal of ZrAs2Pt relaxed with PBEsol.

a = 5.7497 Å, b = 5.7497 Å, c = 5.7497 Å
α = 143.31°, β = 141.72°, γ = 54.06°
Element x y z (fractional)
Zr  0.0000  0.0000  0.0000
As  0.3069  0.8069  0.5000
As  0.5695  0.5695  0.0000
Pt  0.7563  0.2563  0.5000

Calculated values
**Calculated volume**: 70 Å³/cell
**Calculated density**: 10.36 g cm⁻³
**VASP energy**: -36.063 eV/atom

=====

7.
## ZrRe2Ru (meta-GGA SCAN)

Data for a crystal of ZrRe2Ru relaxed with PBEsol.

a = 9.4599 Å, b = 9.4599 Å, c = 9.4599 Å
α = 16.92°, β = 16.92°, γ = 16.92°
Element x y z (fractional)
Zr  0.0000  0.0000  0.0000
Re  0.5027  0.5027  0.5027
Re  0.7586  0.7586  0.7586
Ru  0.2449  0.2449  0.2449

Calculated values
**Calculated volume**: 63 Å³/cell
**Offset from the most stable computed form**: 298.7 meV/atom
**Calculated density**: 14.99 g cm⁻³

=====

8.
## ScReBr (meta-GGA SCAN)

Data for a crystal of ScReBr relaxed with PBEsol.

a = 7.5651 Å, b = 7.3689 Å, c = 2.9532 Å
α = 82.35°, β = 74.88°, γ = 22.76°
Element x y z (fractional)
Sc  0.0000  0.0000  0.0000
Re  0.3601  0.3601  0.6399
Br  0.6405  0.6405  0.3595

Calculated values
**Calculated volume**: 59 Å³/cell
**Calculated density**: 8.77 g cm⁻³
**VASP energy**: -34.696 eV/atom